No. 1
Here is Eu2Zn2CuP3 after structural relaxation from Alexandria via LeMat-Bulk. Energies are from PBE. Values from VASP.

The structure in Quantum ESPRESSO input format:
```
&SYSTEM
  ibrav = 0, nat = 16, ntyp = 4
/
ATOMIC_SPECIES
Eu 151.96 Eu.upf
Zn 65.41 Zn.upf
Cu 63.55 Cu.upf
P 30.97 P.upf
CELL_PARAMETERS angstrom
4.079 0.000 0.000
-2.040 3.533 0.000
0.000 0.000 22.014
ATOMIC_POSITIONS crystal
Eu 0.000 0.000 0.157
Eu 0.000 0.000 0.343
Eu 0.000 0.000 0.657
Eu 0.000 0.000 0.843
Zn 0.333 0.667 0.042
Zn 0.333 0.667 0.458
Zn 0.667 0.333 0.542
Zn 0.667 0.333 0.958
Cu 0.333 0.667 0.750
Cu 0.667 0.333 0.250
P 0.333 0.667 0.250
P 0.333 0.667 0.573
P 0.333 0.667 0.927
P 0.667 0.333 0.073
P 0.667 0.333 0.427
P 0.667 0.333 0.750
```

Output
Space group: P6_3/mmc
Density of states at the Fermi level: 18.11 states/eV/f.u.
Calculated total energy: -6.2091 eV per atom

---

No. 2
Here is La2AlB after structural relaxation from Alexandria via LeMat-Bulk. Energies are from PBE. Values from VASP.

The structure in Quantum ESPRESSO input format:
```
&SYSTEM
  ibrav = 0, nat = 4, ntyp = 3
/
ATOMIC_SPECIES
La 138.91 La.upf
Al 26.98 Al.upf
B 10.81 B.upf
CELL_PARAMETERS angstrom
0.000 3.628 3.628
3.628 0.000 3.628
3.628 3.628 0.000
ATOMIC_POSITIONS crystal
La 0.250 0.250 0.250
La 0.750 0.750 0.750
Al 0.000 0.000 0.000
B 0.500 0.500 0.500
```

Output
Space group: Fm-3m
Density of states at the Fermi level: 2.41 states/eV/f.u.
Calculated total energy: -4.8720 eV per atom

---

calculated total energy of number 2 (La2AlB)? -4.8720 eV per atom